# 1
## Os2C (GGA-PBE)

Data for a relaxed structure of Os2C.

a = 5.261 Å, b = 5.261 Å, c = 6.224 Å
α = 124.43°, β = 124.43°, γ = 30.94°
Atoms (fractional coordinates):
Os (0.120, 0.120, 0.442)
Os (0.367, 0.367, 0.996)
Os (0.633, 0.633, 0.004)
Os (0.880, 0.880, 0.558)
C (0.330, 0.330, 0.278)
C (0.670, 0.670, 0.722)

## Properties
DFT formation energy in eV/atom: 0.695
Space-group type: C2/m (12)
DFT total energy in eV/atom: -9.87


# 2
## PaHRu2 (GGA-PBE)

Data for a relaxed structure of PaHRu2.

a = 5.752 Å, b = 5.752 Å, c = 5.752 Å
α = 35.58°, β = 35.58°, γ = 35.58°
Atoms (fractional coordinates):
Pa (0.000, 0.000, 0.000)
H (0.500, 0.500, 0.500)
Ru (0.227, 0.227, 0.227)
Ru (0.773, 0.773, 0.773)

## Properties
Space-group type: R-3m (166)
DFT total energy in eV/atom: -7.83


# 3
## HfBeAg (GGA-PBE)

Data for a relaxed structure of HfBeAg.

a = 5.393 Å, b = 5.393 Å, c = 6.377 Å
α = 108.48°, β = 108.48°, γ = 33.25°
Atoms (fractional coordinates):
Hf (0.151, 0.151, 0.082)
Hf (0.849, 0.849, 0.918)
Be (0.472, 0.472, 0.271)
Be (0.528, 0.528, 0.729)
Ag (0.148, 0.148, 0.554)
Ag (0.852, 0.852, 0.446)

## Properties
DFT formation energy in eV/atom: 0.055
Space-group type: C2/m (12)
DFT total energy in eV/atom: -5.45


# 4
## Li2Sm3Mg7 (GGA-PBE)

Data for a relaxed structure of Li2Sm3Mg7.

a = 10.216 Å, b = 10.216 Å, c = 10.216 Å
α = 34.46°, β = 34.46°, γ = 34.46°
Atoms (fractional coordinates):
Li (0.166, 0.166, 0.166)
Li (0.834, 0.834, 0.834)
Sm (0.360, 0.360, 0.360)
Sm (0.500, 0.500, 0.500)
Sm (0.640, 0.640, 0.640)
Mg (0.000, 0.000, 0.000)
Mg (0.082, 0.082, 0.577)
Mg (0.082, 0.577, 0.082)
Mg (0.423, 0.918, 0.918)
Mg (0.577, 0.082, 0.082)
Mg (0.918, 0.423, 0.918)
Mg (0.918, 0.918, 0.423)

## Properties
DFT formation energy in eV/atom: -0.039
Space-group type: R-3m (166)
DFT total energy in eV/atom: -2.47


# 5
## TlGa2SnF8 (GGA-PBE)

Data for a relaxed structure of TlGa2SnF8.

a = 6.112 Å, b = 6.112 Å, c = 8.187 Å
α = 90.00°, β = 90.00°, γ = 120.00°
Atoms (fractional coordinates):
Tl (0.000, 0.000, 0.000)
Ga (0.333, 0.667, 0.212)
Ga (0.667, 0.333, 0.788)
Sn (0.000, 0.000, 0.500)
F (0.171, 0.342, 0.299)
F (0.171, 0.829, 0.299)
F (0.333, 0.667, 0.990)
F (0.342, 0.171, 0.701)
F (0.658, 0.829, 0.299)
F (0.667, 0.333, 0.010)
F (0.829, 0.171, 0.701)
F (0.829, 0.658, 0.701)

## Properties
Space-group type: P-3m1 (164)
Formation energy without anion corrections in eV per atom: -2.179
DFT total energy in eV/atom: -4.46


# 6
## RbBi2Pd2 (GGA-PBE)

Data for a relaxed structure of RbBi2Pd2.

a = 8.814 Å, b = 8.814 Å, c = 3.314 Å
α = 90.00°, β = 90.00°, γ = 90.00°
Atoms (fractional coordinates):
Rb (0.000, 0.000, 0.000)
Rb (0.500, 0.500, 0.000)
Bi (0.147, 0.353, 0.500)
Bi (0.353, 0.853, 0.500)
Bi (0.647, 0.147, 0.500)
Bi (0.853, 0.647, 0.500)
Pd (0.128, 0.628, 0.000)
Pd (0.372, 0.128, 0.000)
Pd (0.628, 0.872, 0.000)
Pd (0.872, 0.372, 0.000)

## Properties
DFT formation energy in eV/atom: -0.205
Space-group type: P4/mbm (127)
DFT total energy in eV/atom: -4.03


# 7
## Pr3TeCBr (GGA-PBE)

Data for a relaxed structure of Pr3TeCBr.

a = 8.667 Å, b = 3.849 Å, c = 10.972 Å
α = 90.00°, β = 106.09°, γ = 90.00°
Atoms (fractional coordinates):
Pr (0.010, 0.250, 0.360)
Pr (0.214, 0.250, 0.051)
Pr (0.361, 0.750, 0.604)
Pr (0.639, 0.250, 0.396)
Pr (0.786, 0.750, 0.949)
Pr (0.990, 0.750, 0.640)
Te (0.302, 0.750, 0.296)
Te (0.698, 0.250, 0.704)
C (0.167, 0.250, 0.581)
C (0.833, 0.750, 0.419)
Br (0.340, 0.750, 0.884)
Br (0.660, 0.250, 0.116)

## Properties
Space-group type: P2_1/m (11)
Formation energy without anion corrections in eV per atom: -0.822
DFT total energy in eV/atom: -5.55


# 8
## Cr2CuMo (GGA-PBE)

Data for a relaxed structure of Cr2CuMo.

a = 2.872 Å, b = 2.872 Å, c = 6.336 Å
α = 90.00°, β = 90.00°, γ = 90.00°
Atoms (fractional coordinates):
Cr (0.000, 0.000, 0.000)
Cr (0.500, 0.500, 0.193)
Cu (0.000, 0.000, 0.443)
Mo (0.500, 0.500, 0.726)

## Properties
DFT formation energy in eV/atom: 0.259
Space-group type: P4mm (99)
DFT total energy in eV/atom: -8.28


# 9
## AcTbN (GGA-PBE)

Data for a relaxed structure of AcTbN.

a = 3.667 Å, b = 3.667 Å, c = 6.777 Å
α = 95.85°, β = 95.85°, γ = 59.53°
Atoms (fractional coordinates):
Ac (0.000, 0.000, 0.000)
Tb (0.280, 0.280, 0.570)
N (0.630, 0.630, 0.724)

## Properties
Space-group type: Cm (8)
Formation energy without anion corrections in eV per atom: -0.798
DFT total energy in eV/atom: -6.49


# 10
## Ca2InRu (GGA-PBE)

Data for a relaxed structure of Ca2InRu.

a = 3.557 Å, b = 3.557 Å, c = 8.276 Å
α = 90.00°, β = 90.00°, γ = 90.00°
Atoms (fractional coordinates):
Ca (0.000, 0.000, 0.000)
Ca (0.500, 0.500, 0.386)
In (0.000, 0.000, 0.634)
Ru (0.500, 0.500, 0.776)

## Properties
DFT formation energy in eV/atom: -0.043
Space-group type: P4mm (99)
DFT total energy in eV/atom: -4.05


# 11
## KMoIr3 (GGA-PBE)

Data for a relaxed structure of KMoIr3.

a = 4.823 Å, b = 4.823 Å, c = 4.823 Å
α = 90.00°, β = 90.00°, γ = 90.00°
Atoms (fractional coordinates):
K (0.000, 0.000, 0.000)
Mo (0.500, 0.500, 0.500)
Ir (0.000, 0.500, 0.500)
Ir (0.500, 0.000, 0.500)
Ir (0.500, 0.500, 0.000)

## Properties
DFT formation energy in eV/atom: 1.252
Space-group type: Pm-3m (221)
DFT total energy in eV/atom: -6.45


# 12
## ZrPd2Br (GGA-PBE)

Data for a relaxed structure of ZrPd2Br.

a = 6.027 Å, b = 6.027 Å, c = 6.027 Å
α = 102.07°, β = 102.07°, γ = 125.58°
Atoms (fractional coordinates):
Zr (0.000, 0.000, 0.000)
Zr (0.750, 0.250, 0.500)
Pd (0.121, 0.625, 0.996)
Pd (0.375, 0.371, 0.496)
Pd (0.629, 0.125, 0.004)
Pd (0.875, 0.879, 0.504)
Br (0.250, 0.750, 0.500)
Br (0.500, 0.500, 0.000)

## Properties
Space-group type: I-42d (122)
Formation energy without anion corrections in eV per atom: -0.224
DFT total energy in eV/atom: -5.38


# 13
## Tb4Pm4Nd5 (GGA-PBE)

Data for a relaxed structure of Tb4Pm4Nd5.

a = 9.633 Å, b = 9.633 Å, c = 9.633 Å
α = 94.05°, β = 94.05°, γ = 149.16°
Atoms (fractional coordinates):
Tb (0.155, 0.232, 0.386)
Tb (0.232, 0.845, 0.077)
Tb (0.768, 0.155, 0.923)
Tb (0.845, 0.768, 0.614)
Pm (0.077, 0.616, 0.693)
Pm (0.384, 0.077, 0.461)
Pm (0.616, 0.923, 0.539)
Pm (0.923, 0.384, 0.307)
Nd (0.000, 0.000, 0.000)
Nd (0.307, 0.460, 0.768)
Nd (0.460, 0.693, 0.153)
Nd (0.540, 0.307, 0.847)
Nd (0.693, 0.540, 0.232)

## Properties
DFT formation energy in eV/atom: 0.014
Space-group type: I4/m (87)
DFT total energy in eV/atom: -4.71


# 14
## AcEr2Al9 (GGA-PBE)

Data for a relaxed structure of AcEr2Al9.

a = 9.380 Å, b = 9.380 Å, c = 9.380 Å
α = 35.15°, β = 35.15°, γ = 35.15°
Atoms (fractional coordinates):
Ac (0.000, 0.000, 0.000)
Er (0.142, 0.142, 0.142)
Er (0.858, 0.858, 0.858)
Al (0.077, 0.589, 0.589)
Al (0.336, 0.336, 0.336)
Al (0.411, 0.411, 0.923)
Al (0.411, 0.923, 0.411)
Al (0.500, 0.500, 0.500)
Al (0.589, 0.077, 0.589)
Al (0.589, 0.589, 0.077)
Al (0.664, 0.664, 0.664)
Al (0.923, 0.411, 0.411)

## Properties
DFT formation energy in eV/atom: -0.374
Space-group type: R-3m (166)
DFT total energy in eV/atom: -4.28


# 15
## Ba2CuHgH6 (GGA-PBE)

Data for a relaxed structure of Ba2CuHgH6.

a = 5.818 Å, b = 5.818 Å, c = 5.843 Å
α = 119.77°, β = 119.77°, γ = 90.06°
Atoms (fractional coordinates):
Ba (0.250, 0.750, 0.000)
Ba (0.750, 0.250, 0.000)
Cu (0.000, 0.000, 0.500)
Hg (0.500, 0.500, 0.500)
H (0.209, 0.209, 0.499)
H (0.210, 0.210, 0.921)
H (0.210, 0.790, 0.500)
H (0.790, 0.210, 0.500)
H (0.790, 0.790, 0.079)
H (0.791, 0.791, 0.501)

## Properties
Space-group type: C2/m (12)
DFT total energy in eV/atom: -3.08


# 16
## TlCd6Pt6 (GGA-PBE)

Data for a relaxed structure of TlCd6Pt6.

a = 7.298 Å, b = 7.298 Å, c = 7.298 Å
α = 134.74°, β = 100.41°, γ = 96.63°
Atoms (fractional coordinates):
Tl (0.000, 0.000, 0.000)
Cd (0.175, 0.675, 0.500)
Cd (0.333, 0.000, 0.333)
Cd (0.339, 0.339, 0.000)
Cd (0.661, 0.661, 0.000)
Cd (0.667, 0.000, 0.667)
Cd (0.825, 0.325, 0.500)
Pt (0.000, 0.000, 0.500)
Pt (0.000, 0.500, 0.000)
Pt (0.247, 0.500, 0.747)
Pt (0.500, 0.000, 0.000)
Pt (0.500, 0.500, 0.500)
Pt (0.753, 0.500, 0.253)

## Properties
DFT formation energy in eV/atom: -0.267
Space-group type: Immm (71)
DFT total energy in eV/atom: -3.66


# 17
## CdTcP2 (GGA-PBE)

Data for a relaxed structure of CdTcP2.

a = 4.480 Å, b = 4.480 Å, c = 4.480 Å
α = 60.00°, β = 60.00°, γ = 60.00°
Atoms (fractional coordinates):
Cd (0.000, 0.000, 0.000)
Tc (0.750, 0.750, 0.750)
P (0.250, 0.250, 0.250)
P (0.500, 0.500, 0.500)

## Properties
DFT formation energy in eV/atom: 0.783
Space-group type: F-43m (216)
DFT total energy in eV/atom: -4.74